(1)
A crystal of SrIn2Si relaxed with PBEsol, computed with meta-GGA SCAN.

POSCAR file:
```
SrIn2Si
1.0
4.5737 0.0000 0.0000
0.0000 4.5737 0.0000
0.0000 0.0000 9.5006
Sr In Si
2 4 2
Cartesian
0.0000 0.0000 0.0000
2.2869 2.2869 4.7503
0.0000 0.0000 4.7503
0.0000 2.2869 2.3751
2.2869 0.0000 7.1254
2.2869 2.2869 0.0000
0.0000 2.2869 7.1254
2.2869 0.0000 2.3751
```

The crystal system is tetragonal. The value obtained for the total energy is -24.81 eV per atom. As for the spin magnetization: 0.00 μB per atom.

=====

(2)
A crystal of Li7V3NiP6O24 relaxed with PBEsol, computed with meta-GGA SCAN.

POSCAR file:
```
Li7V3NiP6O24
1.0
4.3492 2.5110 6.8074
-4.3492 2.5110 6.8074
0.0000 -5.0220 6.8074
Li V Ni P O
7 3 1 6 24
Cartesian
0.0000 0.0000 0.0000
-0.8394 -2.7627 8.7272
-1.8844 -0.0144 10.8867
-1.9728 2.1083 8.7272
0.9547 -1.6248 10.8868
0.9297 1.6391 10.8868
2.8123 0.6544 8.7272
0.0000 0.0000 7.4190
0.0000 0.0000 13.1866
0.0000 0.0000 17.6445
0.0000 0.0000 3.0239
-3.1050 -0.3146 8.5558
-1.2943 -2.8094 11.9945
1.8249 -2.5318 8.5558
-1.7858 2.5256 11.9945
1.2801 2.8463 8.5558
3.0802 0.2838 11.9945
-3.9537 0.9798 8.4235
-3.3438 -1.0686 9.8846
-2.8314 -2.7954 12.0711
-0.8775 -1.4397 6.4346
-0.6649 -3.3435 10.6847
-1.6110 0.1356 8.6812
1.1283 -3.9139 8.4235
-0.8081 1.4798 6.4346
-2.5631 2.2475 10.6847
-0.8124 -1.3108 11.9325
0.6881 -1.4629 8.6812
1.6856 -0.0401 6.4346
-1.6230 0.1887 14.1694
-0.7290 1.3590 11.9325
0.9229 1.3274 8.6812
2.5973 -2.3615 9.8846
0.6481 -1.4999 14.1694
-1.0052 3.8497 12.0711
1.5414 -0.0481 11.9325
0.7465 3.4301 9.8846
0.9749 1.3113 14.1693
2.8254 2.9341 8.4235
3.8366 -1.0544 12.0711
3.2280 1.0960 10.6847
```

The crystal system is trigonal. The value obtained for the total energy is -9.75 eV per atom. As for the spin magnetization: 0.20 μB per atom.

=====

(3)
A crystal of LiCa relaxed with PBEsol, computed with meta-GGA SCAN.

POSCAR file:
```
LiCa
1.0
6.2889 0.0000 0.0000
0.0000 6.2889 0.0000
0.0000 0.0000 6.2889
Li Ca
4 4
Cartesian
0.6245 0.6245 0.6245
2.5199 5.6644 3.7690
3.7690 2.5199 5.6644
5.6644 3.7690 2.5199
0.5525 3.6970 5.7363
2.5919 2.5919 2.5919
3.6970 5.7363 0.5525
5.7363 0.5525 3.6970
```

The crystal system is cubic. For the energy relative to the elements, the calculation gives 0.07 eV per atom. As for the spin magnetization: 0.06 μB per atom.

=====

(4)
A crystal of Hf3MnH relaxed with PBEsol, computed with meta-GGA SCAN.

POSCAR file:
```
Hf3MnH
1.0
4.7262 0.0000 0.0000
0.0000 4.7262 0.0000
0.0000 0.0000 4.7262
Hf Mn H
3 1 1
Cartesian
0.0000 0.0000 2.3631
0.0000 2.3631 0.0000
2.3631 0.0000 0.0000
0.0000 0.0000 0.0000
2.3631 2.3631 2.3631
```

The crystal system is cubic. The value obtained for the total energy is -40.91 eV per atom. As for the spin magnetization: 0.00 μB per atom.

=====

(5)
A crystal of MgTiSbF2 relaxed with PBEsol, computed with meta-GGA SCAN.

POSCAR file:
```
MgTiSbF2
1.0
3.8246 0.0000 0.0000
0.0000 3.8246 0.0000
0.0000 0.0000 6.3999
Mg Ti Sb F
1 1 1 2
Cartesian
0.0000 0.0000 0.0000
1.9123 1.9123 3.2000
0.0000 0.0000 3.2000
0.0000 1.9123 0.0000
1.9123 0.0000 0.0000
```

The crystal system is tetragonal. The value obtained for the total energy is -15.01 eV per atom. As for the spin magnetization: 0.21 μB per atom.

=====

(6)
A crystal of AgSbW2 relaxed with PBEsol, computed with meta-GGA SCAN.

POSCAR file:
```
AgSbW2
1.0
9.4727 0.0000 0.0000
0.0000 3.1609 0.0000
-0.8649 0.0000 4.6126
Ag Sb W
2 2 4
Cartesian
0.0000 0.0000 0.0000
4.7364 1.5804 0.0000
-0.4324 1.5804 2.3063
4.3039 0.0000 2.3063
2.1527 1.5804 1.0697
1.7189 0.0000 3.5429
6.8890 0.0000 1.0697
6.4552 1.5804 3.5429
```

The crystal system is monoclinic. The value obtained for the total energy is -51.20 eV per atom. As for the spin magnetization: 0.00 μB per atom.